Entry 1:
# AlTl2Au

A geometry-optimized AlTl2Au structure (PBE-GGA, the Alexandria database).

Values from the calculation:
Distance to the lowest polymorph of the same formula ... 248.2 meV/atom
Calculated formation energy ... 0.8 eV per formula unit

Cell lengths 9.883, 9.883, 9.883 Å; angles 19.69, 19.69, 19.69 degrees
Fractional coordinates of all 4 atoms:
Al (0.000, 0.000, 0.000)
Tl (0.248, 0.248, 0.248)
Tl (0.752, 0.752, 0.752)
Au (0.500, 0.500, 0.500)


Entry 2:
# LiPr3Rh

A geometry-optimized LiPr3Rh structure (PBE-GGA, the Alexandria database).

Values from the calculation:
Distance to the lowest polymorph of the same formula ... 0.0 meV/atom
Calculated formation energy ... -1.2 eV per formula unit

Cell lengths 6.270, 6.270, 9.377 Å; angles 115.20, 115.20, 65.14 degrees
Fractional coordinates of all 10 atoms:
Li (0.193, 0.807, 0.000)
Li (0.807, 0.193, 0.000)
Pr (0.192, 0.192, 0.392)
Pr (0.205, 0.205, 0.797)
Pr (0.445, 0.445, 0.248)
Pr (0.555, 0.555, 0.752)
Pr (0.795, 0.795, 0.203)
Pr (0.808, 0.808, 0.608)
Rh (0.223, 0.777, 0.500)
Rh (0.777, 0.223, 0.500)


Entry 3:
# CeYCuRh

A geometry-optimized CeYCuRh structure (PBE-GGA, the Alexandria database).

Values from the calculation:
Calculated formation energy ... -1.8 eV per formula unit

Cell lengths 4.937, 4.937, 4.937 Å; angles 60.00, 60.00, 60.00 degrees
Fractional coordinates of all 4 atoms:
Ce (0.000, 0.000, 0.000)
Y (0.500, 0.500, 0.500)
Cu (0.750, 0.750, 0.750)
Rh (0.250, 0.250, 0.250)


Entry 4:
# FeCoIr2

A geometry-optimized FeCoIr2 structure (PBE-GGA, the Alexandria database).

Values from the calculation:
Calculated formation energy ... 0.7 eV per formula unit

Cell lengths 2.659, 2.659, 8.701 Å; angles 90.00, 90.00, 117.38 degrees
Fractional coordinates of all 4 atoms:
Fe (0.000, 0.000, 0.000)
Co (0.000, 0.000, 0.500)
Ir (0.500, 0.500, 0.250)
Ir (0.500, 0.500, 0.750)


Entry 5:
# PuPaOs

A geometry-optimized PuPaOs structure (PBE-GGA, the Alexandria database).

Values from the calculation:
Distance to the lowest polymorph of the same formula ... 212.1 meV/atom
Calculated formation energy ... 0.2 eV per formula unit

Cell lengths 4.742, 4.742, 4.742 Å; angles 60.00, 60.00, 60.00 degrees
Fractional coordinates of all 3 atoms:
Pu (0.000, 0.000, 0.000)
Pa (0.500, 0.500, 0.500)
Os (0.250, 0.250, 0.250)


Entry 6:
# KTaF6

A geometry-optimized KTaF6 structure (PBE-GGA, the Alexandria database).

Values from the calculation:
E_form (uncorrected) ... -3.281 eV/atom

Cell lengths 5.328, 5.328, 9.989 Å; angles 90.00, 90.00, 90.00 degrees
Fractional coordinates of all 16 atoms:
K (0.000, 0.000, 0.250)
K (0.000, 0.000, 0.750)
Ta (0.500, 0.500, 0.000)
Ta (0.500, 0.500, 0.500)
F (0.244, 0.244, 0.000)
F (0.244, 0.756, 0.500)
F (0.318, 0.318, 0.365)
F (0.318, 0.318, 0.635)
F (0.318, 0.682, 0.135)
F (0.318, 0.682, 0.865)
F (0.682, 0.318, 0.135)
F (0.682, 0.318, 0.865)
F (0.682, 0.682, 0.365)
F (0.682, 0.682, 0.635)
F (0.756, 0.244, 0.500)
F (0.756, 0.756, 0.000)


Entry 7:
# AcPr4Ho7

A geometry-optimized AcPr4Ho7 structure (PBE-GGA, the Alexandria database).

Values from the calculation:
Distance to the lowest polymorph of the same formula ... 0.0 meV/atom
Calculated formation energy ... 0.3 eV per formula unit

Cell lengths 6.342, 7.307, 9.035 Å; angles 90.11, 103.59, 90.11 degrees
Fractional coordinates of all 12 atoms:
Ac (0.000, 0.000, 0.000)
Pr (0.222, 0.499, 0.669)
Pr (0.281, 0.749, 0.337)
Pr (0.719, 0.251, 0.663)
Pr (0.778, 0.501, 0.331)
Ho (0.000, 0.500, 0.000)
Ho (0.223, 0.999, 0.664)
Ho (0.279, 0.250, 0.333)
Ho (0.500, 0.251, 0.001)
Ho (0.500, 0.749, 0.999)
Ho (0.721, 0.750, 0.667)
Ho (0.777, 0.001, 0.336)


Entry 8:
# TcRu2Pt

A geometry-optimized TcRu2Pt structure (PBE-GGA, the Alexandria database).

Values from the calculation:
Distance to the lowest polymorph of the same formula ... 456.6 meV/atom
Calculated formation energy ... 1.5 eV per formula unit

Cell lengths 4.377, 4.377, 4.377 Å; angles 60.00, 60.00, 60.00 degrees
Fractional coordinates of all 4 atoms:
Tc (0.000, 0.000, 0.000)
Ru (0.250, 0.250, 0.250)
Ru (0.750, 0.750, 0.750)
Pt (0.500, 0.500, 0.500)


Entry 9:
# K2RuBr

A geometry-optimized K2RuBr structure (PBE-GGA, the Alexandria database).

Values from the calculation:
E_form (uncorrected) ... 0.298 eV/atom
Distance to the lowest polymorph of the same formula ... 109.3 meV/atom

Cell lengths 6.031, 6.031, 3.463 Å; angles 90.00, 90.00, 90.92 degrees
Fractional coordinates of all 4 atoms:
K (0.000, 0.500, 0.000)
K (0.500, 0.000, 0.000)
Ru (0.000, 0.000, 0.500)
Br (0.500, 0.500, 0.500)


Entry 10:
# InAsSe

A geometry-optimized InAsSe structure (PBE-GGA, the Alexandria database).

Values from the calculation:
E_form (uncorrected) ... 0.243 eV/atom

Cell lengths 4.777, 4.777, 4.777 Å; angles 60.00, 60.00, 60.00 degrees
Fractional coordinates of all 3 atoms:
In (0.000, 0.000, 0.000)
As (0.750, 0.750, 0.750)
Se (0.250, 0.250, 0.250)


Entry 11:
# Pr8Ho4Sc

A geometry-optimized Pr8Ho4Sc structure (PBE-GGA, the Alexandria database).

Values from the calculation:
Calculated formation energy ... 2.2 eV per formula unit

Cell lengths 10.557, 10.557, 10.557 Å; angles 40.30, 40.30, 40.30 degrees
Fractional coordinates of all 13 atoms:
Pr (0.211, 0.748, 0.748)
Pr (0.213, 0.213, 0.213)
Pr (0.252, 0.252, 0.789)
Pr (0.252, 0.789, 0.252)
Pr (0.748, 0.211, 0.748)
Pr (0.748, 0.748, 0.211)
Pr (0.787, 0.787, 0.787)
Pr (0.789, 0.252, 0.252)
Ho (0.000, 0.000, 0.000)
Ho (0.000, 0.500, 0.500)
Ho (0.500, 0.000, 0.500)
Ho (0.500, 0.500, 0.000)
Sc (0.500, 0.500, 0.500)


Entry 12:
# BaMg4Ga4

A geometry-optimized BaMg4Ga4 structure (PBE-GGA, the Alexandria database).

Values from the calculation:
Calculated formation energy ... -2.1 eV per formula unit

Cell lengths 6.805, 6.805, 9.292 Å; angles 90.00, 90.00, 90.00 degrees
Fractional coordinates of all 18 atoms:
Ba (0.250, 0.750, 0.250)
Ba (0.750, 0.250, 0.750)
Mg (0.000, 0.250, 0.131)
Mg (0.000, 0.750, 0.869)
Mg (0.250, 0.000, 0.631)
Mg (0.250, 0.500, 0.631)
Mg (0.500, 0.250, 0.131)
Mg (0.500, 0.750, 0.869)
Mg (0.750, 0.000, 0.369)
Mg (0.750, 0.500, 0.369)
Ga (0.063, 0.250, 0.428)
Ga (0.250, 0.063, 0.928)
Ga (0.250, 0.437, 0.928)
Ga (0.437, 0.250, 0.428)
Ga (0.563, 0.750, 0.572)
Ga (0.750, 0.563, 0.072)
Ga (0.750, 0.937, 0.072)
Ga (0.937, 0.750, 0.572)


Entry 13:
# SrPtI3

A geometry-optimized SrPtI3 structure (PBE-GGA, the Alexandria database).

Values from the calculation:
E_form (uncorrected) ... 0.141 eV/atom
Distance to the lowest polymorph of the same formula ... 802.5 meV/atom

Cell lengths 6.328, 6.328, 6.328 Å; angles 90.00, 90.00, 90.00 degrees
Fractional coordinates of all 5 atoms:
Sr (0.000, 0.000, 0.000)
Pt (0.500, 0.500, 0.500)
I (0.000, 0.000, 0.500)
I (0.000, 0.500, 0.000)
I (0.500, 0.000, 0.000)


Entry 14:
# Rb2NbGaSb

A geometry-optimized Rb2NbGaSb structure (PBE-GGA, the Alexandria database).

Values from the calculation:
E_form (uncorrected) ... 1.043 eV/atom
Distance to the lowest polymorph of the same formula ... 146.0 meV/atom

Cell lengths 7.164, 7.164, 5.243 Å; angles 90.00, 90.00, 90.00 degrees
Fractional coordinates of all 5 atoms:
Rb (0.000, 0.500, 0.000)
Rb (0.500, 0.000, 0.000)
Nb (0.000, 0.000, 0.500)
Ga (0.500, 0.500, 0.500)
Sb (0.500, 0.500, 0.000)


Entry 15:
# LaErThAl

A geometry-optimized LaErThAl structure (PBE-GGA, the Alexandria database).

Values from the calculation:
Calculated formation energy ... 0.0 eV per formula unit

Cell lengths 5.470, 5.470, 5.470 Å; angles 60.00, 60.00, 60.00 degrees
Fractional coordinates of all 4 atoms:
La (0.000, 0.000, 0.000)
Er (0.250, 0.250, 0.250)
Th (0.500, 0.500, 0.500)
Al (0.750, 0.750, 0.750)


Entry 16:
# K3ErTm3Se8

A geometry-optimized K3ErTm3Se8 structure (PBE-GGA, the Alexandria database).

Values from the calculation:
E_form (uncorrected) ... -1.675 eV/atom

Cell lengths 9.176, 9.176, 9.176 Å; angles 53.05, 53.05, 53.05 degrees
Fractional coordinates of all 15 atoms:
K (0.000, 0.500, 0.500)
K (0.500, 0.000, 0.500)
K (0.500, 0.500, 0.000)
Er (0.500, 0.500, 0.500)
Tm (0.000, 0.000, 0.500)
Tm (0.000, 0.500, 0.000)
Tm (0.500, 0.000, 0.000)
Se (0.231, 0.735, 0.735)
Se (0.234, 0.234, 0.234)
Se (0.265, 0.265, 0.769)
Se (0.265, 0.769, 0.265)
Se (0.735, 0.231, 0.735)
Se (0.735, 0.735, 0.231)
Se (0.766, 0.766, 0.766)
Se (0.769, 0.265, 0.265)


Entry 17:
# CuSn3Bi

A geometry-optimized CuSn3Bi structure (PBE-GGA, the Alexandria database).

Values from the calculation:
Distance to the lowest polymorph of the same formula ... 0.0 meV/atom
Calculated formation energy ... 0.9 eV per formula unit

Cell lengths 5.154, 5.154, 5.154 Å; angles 90.00, 90.00, 90.00 degrees
Fractional coordinates of all 5 atoms:
Cu (0.000, 0.000, 0.000)
Sn (0.000, 0.000, 0.500)
Sn (0.000, 0.500, 0.000)
Sn (0.500, 0.000, 0.000)
Bi (0.500, 0.500, 0.500)


Entry 18:
# CaFeSb2Te

A geometry-optimized CaFeSb2Te structure (PBE-GGA, the Alexandria database).

Values from the calculation:
E_form (uncorrected) ... -0.119 eV/atom
Distance to the lowest polymorph of the same formula ... 0.0 meV/atom

Cell lengths 4.804, 4.804, 5.965 Å; angles 90.00, 90.00, 90.00 degrees
Fractional coordinates of all 5 atoms:
Ca (0.000, 0.000, 0.000)
Fe (0.500, 0.500, 0.500)
Sb (0.000, 0.500, 0.500)
Sb (0.500, 0.000, 0.500)
Te (0.500, 0.500, 0.000)


Entry 19:
# Cd3Hg5Cl16

A geometry-optimized Cd3Hg5Cl16 structure (PBE-GGA, the Alexandria database).

Values from the calculation:
E_form (uncorrected) ... -0.743 eV/atom

Cell lengths 7.899, 7.899, 12.383 Å; angles 90.82, 90.82, 59.58 degrees
Fractional coordinates of all 24 atoms:
Cd (0.000, 0.000, 0.000)
Cd (0.167, 0.662, 0.501)
Cd (0.662, 0.167, 0.501)
Hg (0.001, 0.494, 0.003)
Hg (0.161, 0.161, 0.271)
Hg (0.494, 0.001, 0.003)
Hg (0.496, 0.496, 0.770)
Hg (0.661, 0.661, 0.504)
Cl (0.157, 0.670, 0.881)
Cl (0.161, 0.161, 0.882)
Cl (0.316, 0.853, 0.130)
Cl (0.321, 0.321, 0.131)
Cl (0.338, 0.809, 0.629)
Cl (0.342, 0.342, 0.626)
Cl (0.492, 0.492, 0.383)
Cl (0.500, 0.994, 0.383)
Cl (0.667, 0.667, 0.882)
Cl (0.670, 0.157, 0.881)
Cl (0.809, 0.338, 0.629)
Cl (0.834, 0.834, 0.612)
Cl (0.836, 0.836, 0.114)
Cl (0.853, 0.316, 0.130)
Cl (0.989, 0.989, 0.384)
Cl (0.994, 0.500, 0.383)


Entry 20:
# Tb2PmDySb4

A geometry-optimized Tb2PmDySb4 structure (PBE-GGA, the Alexandria database).

Values from the calculation:
E_form (uncorrected) ... -1.152 eV/atom

Cell lengths 7.656, 4.423, 7.657 Å; angles 90.00, 109.48, 90.00 degrees
Fractional coordinates of all 8 atoms:
Tb (0.000, 0.000, 0.000)
Tb (0.500, 0.500, 0.000)
Pm (0.000, 0.500, 0.500)
Dy (0.500, 0.000, 0.500)
Sb (0.253, 0.500, 0.249)
Sb (0.254, 0.000, 0.753)
Sb (0.746, 0.000, 0.247)
Sb (0.747, 0.500, 0.751)


Entry 21:
# SmYNi

A geometry-optimized SmYNi structure (PBE-GGA, the Alexandria database).

Values from the calculation:
Distance to the lowest polymorph of the same formula ... 33.6 meV/atom
Calculated formation energy ... -0.6 eV per formula unit

Cell lengths 6.761, 6.761, 6.761 Å; angles 150.45, 150.45, 42.28 degrees
Fractional coordinates of all 3 atoms:
Sm (0.000, 0.000, 0.000)
Y (0.739, 0.739, 0.000)
Ni (0.364, 0.364, 0.000)


Entry 22:
# Tl2OsRu

A geometry-optimized Tl2OsRu structure (PBE-GGA, the Alexandria database).

Values from the calculation:
Distance to the lowest polymorph of the same formula ... 657.3 meV/atom
Calculated formation energy ... 4.6 eV per formula unit

Cell lengths 4.754, 4.754, 4.754 Å; angles 60.00, 60.00, 60.00 degrees
Fractional coordinates of all 4 atoms:
Tl (0.000, 0.000, 0.000)
Tl (0.250, 0.250, 0.250)
Os (0.750, 0.750, 0.750)
Ru (0.500, 0.500, 0.500)


Entry 23:
# BaTlRu

A geometry-optimized BaTlRu structure (PBE-GGA, the Alexandria database).

Values from the calculation:
Distance to the lowest polymorph of the same formula ... 148.0 meV/atom
Calculated formation energy ... 1.3 eV per formula unit

Cell lengths 4.993, 4.993, 4.993 Å; angles 60.00, 60.00, 60.00 degrees
Fractional coordinates of all 3 atoms:
Ba (0.000, 0.000, 0.000)
Tl (0.500, 0.500, 0.500)
Ru (0.250, 0.250, 0.250)


Entry 24:
# KTcPb2

A geometry-optimized KTcPb2 structure (PBE-GGA, the Alexandria database).

Values from the calculation:
Distance to the lowest polymorph of the same formula ... 180.3 meV/atom
Calculated formation energy ... 1.7 eV per formula unit

Cell lengths 4.778, 4.778, 7.644 Å; angles 98.55, 98.55, 42.46 degrees
Fractional coordinates of all 4 atoms:
K (0.000, 0.000, 0.000)
Tc (0.500, 0.500, 0.500)
Pb (0.229, 0.229, 0.674)
Pb (0.771, 0.771, 0.326)


Entry 25:
# Tb2ErCd2In2

A geometry-optimized Tb2ErCd2In2 structure (PBE-GGA, the Alexandria database).

Values from the calculation:
Calculated formation energy ... -1.7 eV per formula unit

Cell lengths 9.378, 9.378, 9.378 Å; angles 30.49, 30.49, 30.49 degrees
Fractional coordinates of all 7 atoms:
Tb (0.128, 0.128, 0.128)
Tb (0.872, 0.872, 0.872)
Er (0.000, 0.000, 0.000)
Cd (0.394, 0.394, 0.394)
Cd (0.606, 0.606, 0.606)
In (0.260, 0.260, 0.260)
In (0.740, 0.740, 0.740)


Values of DOS at the Fermi energy, in order: 0.95; 10.82; 6.29; 5.48; 7.67; 0.00; 18.03; 4.09; 3.42; 2.87; 15.36; 6.10; 15.57; 9.30; 3.38; 7.89; 3.64; 2.31; 0.00; 1.07; 3.03; 5.06; 2.83; 3.35; 4.05, all in states/eV per cell.